[1]
{
  "formula": "Y2VInC",
  "functional": "PBE",
  "state": "optimized geometry",
  "lattice_angstrom": [[5.0094, 0.0000, 0.0000], [0.0000, 5.0094, 0.0000], [0.0000, 0.0000, 4.0847]],
  "species": ["Y", "Y", "V", "In", "C"],
  "frac_coords": [[0.0000, 0.5000, 0.0000], [0.5000, 0.0000, 0.0000], [0.0000, 0.0000, 0.5000], [0.5000, 0.5000, 0.5000], [0.0000, 0.0000, 0.0000]],
  "rho_g_cm3": 5.76,
  "dft_energy_ev_per_atom": -7.18,
  "delta_e_f_ev_per_fu": -1.88
}



[2]
{
  "formula": "InW3C",
  "functional": "PBE",
  "state": "optimized geometry",
  "lattice_angstrom": [[4.2311, 0.0000, 0.0000], [0.0000, 4.2311, 0.0000], [0.0000, 0.0000, 4.2311]],
  "species": ["In", "W", "W", "W", "C"],
  "frac_coords": [[0.0000, 0.0000, 0.0000], [0.0000, 0.5000, 0.5000], [0.5000, 0.0000, 0.5000], [0.5000, 0.5000, 0.0000], [0.5000, 0.5000, 0.5000]],
  "rho_g_cm3": 14.87,
  "dft_energy_ev_per_atom": -9.75,
  "delta_e_f_ev_per_fu": 2.08
}



[3]
{
  "formula": "InW2C",
  "functional": "PBE",
  "state": "optimized geometry",
  "lattice_angstrom": [[0.0000, 3.0931, 3.0931], [3.0931, 0.0000, 3.0931], [3.0931, 3.0931, 0.0000]],
  "species": ["In", "W", "W", "C"],
  "frac_coords": [[0.0000, 0.0000, 0.0000], [0.2500, 0.2500, 0.2500], [0.7500, 0.7500, 0.7500], [0.5000, 0.5000, 0.5000]],
  "rho_g_cm3": 13.87,
  "dft_energy_ev_per_atom": -7.70,
  "delta_e_f_ev_per_fu": 7.07
}



[4]
{
  "formula": "InW3C",
  "functional": "PBE",
  "state": "optimized geometry",
  "lattice_angstrom": [[4.8802, 0.0000, 0.0000], [0.0000, 4.8802, 0.0000], [0.0000, 0.0000, 4.8802]],
  "species": ["In", "W", "W", "W", "C"],
  "frac_coords": [[0.0000, 0.0000, 0.0000], [0.0000, 0.0000, 0.5000], [0.0000, 0.5000, 0.0000], [0.5000, 0.0000, 0.0000], [0.5000, 0.5000, 0.5000]],
  "rho_g_cm3": 9.69,
  "dft_energy_ev_per_atom": -5.82,
  "delta_e_f_ev_per_fu": 21.70
}



[5]
{
  "formula": "InW2C",
  "functional": "PBE",
  "state": "optimized geometry",
  "lattice_angstrom": [[-2.5734, 2.5734, 5.8938], [2.5734, -2.5734, 5.8938], [2.5734, 2.5734, -5.8938]],
  "species": ["In", "In", "W", "W", "W", "W", "C", "C"],
  "frac_coords": [[0.0000, 0.0000, 0.0000], [0.7500, 0.2500, 0.5000], [0.2819, 0.6250, 0.1569], [0.3750, 0.5319, 0.6569], [0.4681, 0.1250, 0.8431], [0.8750, 0.7181, 0.3431], [0.2500, 0.7500, 0.5000], [0.5000, 0.5000, 0.0000]],
  "rho_g_cm3": 10.52,
  "dft_energy_ev_per_atom": -8.29,
  "delta_e_f_ev_per_fu": 4.72
}



[6]
{
  "formula": "InWC2",
  "functional": "PBE",
  "state": "optimized geometry",
  "lattice_angstrom": [[-2.5127, 2.5127, 4.8135], [2.5127, -2.5127, 4.8135], [2.5127, 2.5127, -4.8135]],
  "species": ["In", "In", "W", "W", "C", "C", "C", "C"],
  "frac_coords": [[0.0000, 0.0000, 0.0000], [0.7500, 0.2500, 0.5000], [0.2500, 0.7500, 0.5000], [0.5000, 0.5000, 0.0000], [0.1754, 0.6250, 0.0504], [0.3750, 0.4254, 0.5504], [0.5746, 0.1250, 0.9496], [0.8750, 0.8246, 0.4496]],
  "rho_g_cm3": 8.82,
  "dft_energy_ev_per_atom": -7.76,
  "delta_e_f_ev_per_fu": 3.08
}